Here is an optimized crystal structure of AlAs2RhSe from the Alexandria database. Energies are from GGA-PBEsol.

Calculated values
Crystal system: tetragonal
Energy, eV per cell: -24.1
Space group: P4/mmm (123)
Formation energy (no corrections), eV per formula unit: 2.2
Magnetic moment, Bohr magnetons per cell: 0.00

Cell: 4.613 4.613 5.215 Å, 90.00 90.00 90.00°
Positions (direct):
1 Se 0.000 0.000 0.500
2 As 0.000 0.500 0.000
3 Al 0.500 0.500 0.500
4 As 0.500 0.000 0.000
5 Rh 0.000 0.000 0.000